TaP2IO: optimized geometry, PBE.

For the uncorrected formation energy, the calculation gives 5.85 eV/f.u. The energy relative to the lowest polymorph listed for this composition is 1515 meV per atom.

Lattice parameters (Å, degrees): 5.0407 5.0407 3.8140 90.00 90.00 90.00
Last column: nearest neighbours and their distance in Å.
Space group P4/mmm (No. 123)
Symmetry-distinct sites (fractional):
Ta (0.0000, 0.0000, 0.0000)  8 P 3.16
P (0.0000, 0.5000, 0.5000)  2 I 2.52
I (0.5000, 0.5000, 0.5000)  2 O 1.91
O (0.5000, 0.5000, 0.0000)  2 I 1.91